# LaMnO3, relaxed, DFT GGA+U
data_LaMnO3
_chemical_formula_sum 'La6 Mn6 O18'
_space_group_name_H-M_alt 'R -3'
_space_group_IT_number 148
_space_group_name_Hall '-R 3'
_cell_length_a 5.4958
_cell_length_b 5.4958
_cell_length_c 15.1486
_cell_angle_alpha 90.00
_cell_angle_beta 90.00
_cell_angle_gamma 120.00
loop_
_atom_site_label
_atom_site_type_symbol
_atom_site_fract_x
_atom_site_fract_y
_atom_site_fract_z
La1 La 0.0000 0.0000 0.1242
Mn1 Mn 0.0000 0.0000 0.3389
O1 O 0.0146 0.6153 0.9273
# E_tot ... -7.310 eV per atom